No. 1
! La8PRu3Br4 | the Alexandria database | PBE-GGA | optimized geometry; values from VASP
&SYSTEM
  ibrav = 0, nat = 16, ntyp = 4
/
ATOMIC_SPECIES
Br 79.90 Br.upf
La 138.91 La.upf
Ru 101.07 Ru.upf
P 30.97 P.upf
ATOMIC_POSITIONS crystal
Br 0.0000 0.0000 0.5000
La 0.2368 0.6929 0.4736
La 0.2805 0.3071 0.0437
Br 0.0000 0.0000 0.0000
La 0.2644 0.2935 0.5288
La 0.7356 0.7065 0.4712
Br 0.5000 0.0000 0.0000
Br 0.5000 0.0000 0.5000
Ru 0.5000 0.5000 0.5000
Ru 0.5000 0.5000 0.0000
La 0.7631 0.3071 0.0437
Ru 0.0000 0.5000 0.5000
La 0.2369 0.6929 0.9563
La 0.7195 0.6929 0.9563
P 0.0000 0.5000 0.0000
La 0.7632 0.3071 0.5264
CELL_PARAMETERS angstrom
-0.6434 8.4005 -0.4107
-8.5450 -0.8182 -3.3494
1.6333 -3.7492 7.3780
! - Raw total energy: -6.031 eV/atom
! - Raw formation energy: -1.072 eV/atom
! - Space-group type: R-3m
! - Density: 6.082 Mg/m³

=====

No. 2
! CrMoP2H | the Alexandria database | PBE-GGA | optimized geometry; values from VASP
&SYSTEM
  ibrav = 0, nat = 5, ntyp = 4
/
ATOMIC_SPECIES
Cr 52.00 Cr.upf
P 30.97 P.upf
Mo 95.94 Mo.upf
H 1.01 H.upf
ATOMIC_POSITIONS crystal
Cr 0.0000 0.5000 0.0000
P 0.5000 0.0000 0.0000
Mo 0.5000 0.5000 0.5000
P 0.0000 0.0000 0.5000
H 0.0000 0.0000 0.0000
CELL_PARAMETERS angstrom
-3.8278 0.1405 1.6449
0.3207 -2.9107 0.9948
1.5933 1.4019 3.5880
! - Raw total energy: -6.891 eV/atom
! - Space-group type: P4/mmm
! - Density: 6.516 Mg/m³

=====

No. 3
! Cs2LaGeI6 | the Alexandria database | PBE-GGA | optimized geometry; values from VASP
&SYSTEM
  ibrav = 0, nat = 10, ntyp = 4
/
ATOMIC_SPECIES
I 126.90 I.upf
La 138.91 La.upf
Cs 132.91 Cs.upf
Ge 72.64 Ge.upf
ATOMIC_POSITIONS crystal
I 0.7533 0.2467 0.0000
I 0.7533 0.7533 0.0000
La 0.0000 0.0000 0.0000
I 0.7421 0.7421 0.5159
I 0.2579 0.2579 0.4841
I 0.2467 0.7533 0.0000
Cs 0.2500 0.7500 0.5000
Cs 0.7500 0.2500 0.5000
Ge 0.5000 0.5000 0.0000
I 0.2467 0.2467 0.0000
CELL_PARAMETERS angstrom
9.0852 0.0000 0.0000
0.0000 9.0852 0.0000
4.5426 4.5426 6.1364
! - Raw total energy: -3.162 eV/atom
! - Raw formation energy: -1.107 eV/atom
! - Space-group type: I4/mmm
! - Density: 4.061 Mg/m³

=====

No. 4
! ScMn2AsSe | the Alexandria database | PBE-GGA | optimized geometry; values from VASP
&SYSTEM
  ibrav = 0, nat = 5, ntyp = 4
/
ATOMIC_SPECIES
Sc 44.96 Sc.upf
Se 78.96 Se.upf
As 74.92 As.upf
Mn 54.94 Mn.upf
ATOMIC_POSITIONS crystal
Sc 0.0000 0.0000 0.5000
Se 0.0000 0.0000 0.0000
As 0.5000 0.5000 0.5000
Mn 0.0000 0.5000 0.0000
Mn 0.5000 0.0000 0.0000
CELL_PARAMETERS angstrom
4.3039 0.0000 0.0000
0.0000 4.3039 0.0000
0.0000 0.0000 5.0410
! - Raw total energy: -6.123 eV/atom
! - Raw formation energy: 0.438 eV/atom
! - Space-group type: P4/mmm
! - Density: 5.490 Mg/m³

=====

No. 5
! SrIn5Ag2 | the Alexandria database | PBE-GGA | optimized geometry; values from VASP
&SYSTEM
  ibrav = 0, nat = 8, ntyp = 3
/
ATOMIC_SPECIES
In 114.82 In.upf
Ag 107.87 Ag.upf
Sr 87.62 Sr.upf
ATOMIC_POSITIONS crystal
In 0.3542 0.4531 0.8384
Ag 0.2577 0.2423 0.2423
In 0.6458 0.1616 0.5469
Ag 0.7423 0.7577 0.7577
In 0.6458 0.5469 0.1616
Sr 0.0000 0.0000 0.0000
In 0.3542 0.8384 0.4531
In 0.0000 0.5000 0.5000
CELL_PARAMETERS angstrom
4.4889 0.0000 0.0000
2.2444 6.9343 -0.0936
2.2444 1.9970 6.6411
! - Raw total energy: -2.824 eV/atom
! - Space-group type: Immm
! - Density: 7.020 Mg/m³

=====

No. 6
! Gd2YNi | the Alexandria database | PBE-GGA | optimized geometry; values from VASP
&SYSTEM
  ibrav = 0, nat = 4, ntyp = 3
/
ATOMIC_SPECIES
Ni 58.69 Ni.upf
Gd 157.25 Gd.upf
Y 88.91 Y.upf
ATOMIC_POSITIONS crystal
Ni 0.5000 0.5000 0.0000
Gd 0.0000 0.0000 0.8122
Y 0.5000 0.5000 0.5000
Gd 0.0000 0.0000 0.1878
CELL_PARAMETERS angstrom
3.5033 0.0000 0.0000
0.0000 3.5033 0.0000
0.0000 0.0000 8.6066
! - Raw total energy: -10.236 eV/atom
! - Energy above the lowest structure with this stoichiometry: 0 meV per atom
! - Space-group type: P4/mmm
! - Density: 7.264 Mg/m³

=====

No. 7
! Ce8Ru6Rh | the Alexandria database | PBE-GGA | optimized geometry; values from VASP
&SYSTEM
  ibrav = 0, nat = 15, ntyp = 3
/
ATOMIC_SPECIES
Ce 140.12 Ce.upf
Rh 102.91 Rh.upf
Ru 101.07 Ru.upf
ATOMIC_POSITIONS crystal
Ce 0.7522 0.2570 0.3054
Rh 0.5000 0.0000 0.0000
Ce 0.7522 0.0484 0.7430
Ru 0.2517 0.6249 0.1080
Ru 0.7483 0.5169 0.6249
Ru 0.7483 0.1080 0.4831
Ce 0.7497 0.6667 0.3333
Ru 0.2517 0.4831 0.3751
Ce 0.2478 0.3054 0.0484
Ce 0.7522 0.6946 0.9516
Ru 0.2517 0.8920 0.5169
Ru 0.7483 0.3751 0.8920
Ce 0.2503 0.3333 0.6667
Ce 0.2478 0.9516 0.2570
Ce 0.2478 0.7430 0.6946
CELL_PARAMETERS angstrom
4.5387 0.0000 0.0000
0.0000 9.2286 0.0000
0.0000 -4.6143 7.9922
! - Raw total energy: -7.689 eV/atom
! - Space-group type: P-3
! - Density: 9.079 Mg/m³

=====

No. 8
! LiDyGa4Ni2 | the Alexandria database | PBE-GGA | optimized geometry; values from VASP
&SYSTEM
  ibrav = 0, nat = 8, ntyp = 4
/
ATOMIC_SPECIES
Li 6.94 Li.upf
Ga 69.72 Ga.upf
Ni 58.69 Ni.upf
Dy 162.50 Dy.upf
ATOMIC_POSITIONS crystal
Li 0.5000 0.5000 0.5000
Ga 0.4018 0.4018 0.7946
Ni 0.7667 0.7667 0.6998
Ni 0.2333 0.2333 0.3002
Ga 0.5982 0.5982 0.2054
Ga 0.1293 0.1293 0.6122
Ga 0.8707 0.8707 0.3878
Dy 0.0000 0.0000 0.0000
CELL_PARAMETERS angstrom
4.1220 0.0000 0.0000
2.0610 3.5698 0.0000
2.0610 1.1899 8.4904
! - Raw total energy: -4.244 eV/atom
! - Space-group type: R-3m
! - Density: 7.519 Mg/m³

=====

No. 9
! TmHfBeFe | the Alexandria database | PBE-GGA | optimized geometry; values from VASP
&SYSTEM
  ibrav = 0, nat = 4, ntyp = 4
/
ATOMIC_SPECIES
Fe 55.84 Fe.upf
Tm 168.93 Tm.upf
Hf 178.49 Hf.upf
Be 9.01 Be.upf
ATOMIC_POSITIONS crystal
Fe 0.5000 0.5000 0.5000
Tm 0.7500 0.7500 0.7500
Hf 0.2500 0.2500 0.2500
Be 0.0000 0.0000 0.0000
CELL_PARAMETERS angstrom
4.5530 0.0000 0.0000
2.2765 3.9430 0.0000
2.2765 1.3143 3.7175
! - Raw total energy: -6.663 eV/atom
! - Space-group type: F-43m
! - Density: 10.258 Mg/m³

=====

No. 10
! HfHgF3 | the Alexandria database | PBE-GGA | optimized geometry; values from VASP
&SYSTEM
  ibrav = 0, nat = 5, ntyp = 3
/
ATOMIC_SPECIES
F 19.00 F.upf
Hf 178.49 Hf.upf
Hg 200.59 Hg.upf
ATOMIC_POSITIONS crystal
F 0.5000 0.0000 0.0000
Hf 0.5000 0.5000 0.5000
F 0.0000 0.5000 0.0000
F 0.0000 0.0000 0.5000
Hg 0.0000 0.0000 0.0000
CELL_PARAMETERS angstrom
-2.9145 2.8617 2.0370
-2.4236 0.2777 -3.8577
-2.5426 -3.5450 1.3422
! - Raw total energy: -3.772 eV/atom
! - Raw formation energy: -0.598 eV/atom
! - Energy above the lowest structure with this stoichiometry: 1798 meV per atom
! - Space-group type: Pm-3m
! - Density: 7.615 Mg/m³

=====

No. 11
! Pu3ZnCu8 | the Alexandria database | PBE-GGA | optimized geometry; values from VASP
&SYSTEM
  ibrav = 0, nat = 12, ntyp = 3
/
ATOMIC_SPECIES
Cu 63.55 Cu.upf
Zn 65.41 Zn.upf
Pu 244.00 Pu.upf
ATOMIC_POSITIONS crystal
Cu 0.3132 0.3132 0.0605
Cu 0.5656 0.5656 0.8053
Cu 0.5554 0.0624 0.3199
Cu 0.0635 0.5656 0.8053
Zn 0.1261 0.1261 0.6216
Cu 0.0624 0.5554 0.3199
Pu 0.0005 0.0005 0.9984
Cu 0.5656 0.0635 0.8053
Cu 0.0624 0.0624 0.3199
Pu 0.6251 0.6251 0.1247
Cu 0.8116 0.8116 0.5652
Pu 0.4987 0.4987 0.5039
CELL_PARAMETERS angstrom
0.6830 -5.0277 -0.8957
2.8877 -1.5387 -3.9800
7.9753 -2.1408 3.2792
! - Raw total energy: -6.433 eV/atom
! - Space-group type: R3m
! - Density: 11.265 Mg/m³

=====

No. 12
! PmNi3Rh2 | the Alexandria database | PBE-GGA | optimized geometry; values from VASP
&SYSTEM
  ibrav = 0, nat = 12, ntyp = 3
/
ATOMIC_SPECIES
Pm 145.00 Pm.upf
Ni 58.69 Ni.upf
Rh 102.91 Rh.upf
ATOMIC_POSITIONS crystal
Pm 0.7500 0.6994 0.6994
Ni 0.2500 0.9428 0.9428
Pm 0.2500 0.3006 0.3006
Ni 0.2500 0.5506 0.9232
Rh 0.5000 0.7728 0.2272
Ni 0.7500 0.4494 0.0768
Ni 0.7500 0.0572 0.0572
Rh 0.0000 0.7728 0.2272
Ni 0.2500 0.9232 0.5506
Ni 0.7500 0.0768 0.4494
Rh 0.5000 0.2272 0.7728
Rh 0.0000 0.2272 0.7728
CELL_PARAMETERS angstrom
-4.2944 2.0759 1.8488
-3.1042 -1.9962 -4.9690
-0.9205 -5.0214 3.5001
! - Raw total energy: -6.334 eV/atom
! - Space-group type: Cmcm
! - Density: 8.991 Mg/m³

=====

Question: density of number 12 (PmNi3Rh2)?
Answer: 8.991 Mg/m³

=====

Question: Among the records above, which one has the lowest density?
Answer: Cs2LaGeI6